Entry 1:
Here is KLa3Ga after structural relaxation from the Alexandria database. Energies are from PBE.

E: -18.150 eV for the cell shown

The structure in CIF format:
```
data_KLa3Ga
_chemical_formula_sum 'K1 La3 Ga1'
_symmetry_space_group_name_H-M 'P m -3 m'
_symmetry_Int_Tables_number 221
_symmetry_space_group_name_Hall '-P 4 2 3'
_cell_length_a 6.048
_cell_length_b 6.048
_cell_length_c 6.048
_cell_angle_alpha 90.00
_cell_angle_beta 90.00
_cell_angle_gamma 90.00
loop_
_atom_site_label
_atom_site_type_symbol
_atom_site_fract_x
_atom_site_fract_y
_atom_site_fract_z
K1 K 0.000 0.000 0.000
La1 La 0.000 0.500 0.500
Ga1 Ga 0.500 0.500 0.500
```

***

Entry 2:
Here is K3La3GaO8 after structural relaxation from the Alexandria database. Energies are from PBE.

Formation energy without anion corrections: -2.308 eV/atom
E: -286.166 eV for the cell shown

The structure in CIF format:
```
data_K3La3GaO8
_chemical_formula_sum 'K9 La9 Ga3 O24'
_symmetry_space_group_name_H-M 'R -3 m'
_symmetry_Int_Tables_number 166
_symmetry_space_group_name_Hall '-R 3 2"'
_cell_length_a 7.1424
_cell_length_b 7.1424
_cell_length_c 18.9483
_cell_angle_alpha 90.00
_cell_angle_beta 90.00
_cell_angle_gamma 120.00
loop_
_atom_site_label
_atom_site_type_symbol
_atom_site_fract_x
_atom_site_fract_y
_atom_site_fract_z
K1 K 0.0000 0.5000 0.0000
La1 La 0.0000 0.5000 0.5000
Ga1 Ga 0.0000 0.0000 0.5000
O1 O 0.0000 0.0000 0.2303
O2 O 0.0389 0.5195 0.2249
```

***

Entry 3:
Here is K2LaGa2O6 after structural relaxation from the Alexandria database. Energies are from PBE.

Formation energy without anion corrections: -1.895 eV/atom
E: -63.768 eV for the cell shown

The structure in CIF format:
```
data_K2LaGa2O6
_chemical_formula_sum 'K2 La1 Ga2 O6'
_symmetry_space_group_name_H-M 'P -3 1 m'
_symmetry_Int_Tables_number 162
_symmetry_space_group_name_Hall '-P 3 2'
_cell_length_a 5.5988
_cell_length_b 5.5988
_cell_length_c 6.4509
_cell_angle_alpha 90.00
_cell_angle_beta 90.00
_cell_angle_gamma 120.00
loop_
_atom_site_label
_atom_site_type_symbol
_atom_site_fract_x
_atom_site_fract_y
_atom_site_fract_z
K1 K 0.3333 0.6667 0.0000
La1 La 0.0000 0.0000 0.5000
Ga1 Ga 0.3333 0.6667 0.5000
O1 O 0.0000 0.3818 0.3289
```

***

Entry 4:
Here is KLa2GaRu after structural relaxation from the Alexandria database. Energies are from PBE.

E: -23.899 eV for the cell shown

The structure in CIF format:
```
data_KLa2GaRu
_chemical_formula_sum 'K1 La2 Ga1 Ru1'
_symmetry_space_group_name_H-M 'P 4/m m m'
_symmetry_Int_Tables_number 123
_symmetry_space_group_name_Hall '-P 4 2'
_cell_length_a 5.536
_cell_length_b 5.536
_cell_length_c 5.139
_cell_angle_alpha 90.00
_cell_angle_beta 90.00
_cell_angle_gamma 90.00
loop_
_atom_site_label
_atom_site_type_symbol
_atom_site_fract_x
_atom_site_fract_y
_atom_site_fract_z
K1 K 0.000 0.000 0.000
La1 La 0.000 0.500 0.500
Ga1 Ga 0.500 0.500 0.000
Ru1 Ru 0.500 0.500 0.500
```

***

Entry 5:
Here is K2LaGaS4 after structural relaxation from the Alexandria database. Energies are from PBE.

Formation energy without anion corrections: -1.249 eV/atom
E: -146.612 eV for the cell shown

The structure in CIF format:
```
data_K2LaGaS4
_chemical_formula_sum 'K8 La4 Ga4 S16'
_symmetry_space_group_name_H-M 'C 1 2/c 1'
_symmetry_Int_Tables_number 15
_symmetry_space_group_name_Hall '-C 2yc'
_cell_length_a 11.623
_cell_length_b 12.016
_cell_length_c 8.196
_cell_angle_alpha 90.00
_cell_angle_beta 131.89
_cell_angle_gamma 90.00
loop_
_atom_site_label
_atom_site_type_symbol
_atom_site_fract_x
_atom_site_fract_y
_atom_site_fract_z
K1 K 0.000 0.000 0.000
K2 K 0.250 0.250 0.000
La1 La 0.250 0.250 0.500
Ga1 Ga 0.000 0.500 0.000
S1 S 0.007 0.263 0.030
S2 S 0.196 0.495 0.496
```

***

Entry 6:
Here is KLa2GaS after structural relaxation from the Alexandria database. Energies are from PBE.

Formation energy without anion corrections: 0.870 eV/atom
E: -13.758 eV for the cell shown

The structure in CIF format:
```
data_KLa2GaS
_chemical_formula_sum 'K1 La2 Ga1 S1'
_symmetry_space_group_name_H-M 'P 4/m m m'
_symmetry_Int_Tables_number 123
_symmetry_space_group_name_Hall '-P 4 2'
_cell_length_a 5.715
_cell_length_b 5.715
_cell_length_c 4.843
_cell_angle_alpha 90.00
_cell_angle_beta 90.00
_cell_angle_gamma 90.00
loop_
_atom_site_label
_atom_site_type_symbol
_atom_site_fract_x
_atom_site_fract_y
_atom_site_fract_z
K1 K 0.000 0.000 0.000
La1 La 0.000 0.500 0.000
Ga1 Ga 0.000 0.000 0.500
S1 S 0.500 0.500 0.500
```

***

Entry 7:
Here is KLi2Ga10 after structural relaxation from the Alexandria database. Energies are from PBE.

E: -146.105 eV for the cell shown

The structure in CIF format:
```
data_KLi2Ga10
_chemical_formula_sum 'K4 Li8 Ga40'
_symmetry_space_group_name_H-M 'F m m m'
_symmetry_Int_Tables_number 69
_symmetry_space_group_name_Hall '-F 2 2'
_cell_length_a 5.325
_cell_length_b 13.524
_cell_length_c 13.992
_cell_angle_alpha 90.00
_cell_angle_beta 90.00
_cell_angle_gamma 90.00
loop_
_atom_site_label
_atom_site_type_symbol
_atom_site_fract_x
_atom_site_fract_y
_atom_site_fract_z
K1 K 0.000 0.000 0.000
Li1 Li 0.250 0.000 0.250
Ga1 Ga 0.000 0.113 0.382
Ga2 Ga 0.000 0.175 0.183
Ga3 Ga 0.250 0.250 0.000
```

***

Entry 8:
Here is KLiGa4 after structural relaxation from the Alexandria database. Energies are from PBE.

E: -61.955 eV for the cell shown

The structure in CIF format:
```
data_KLiGa4
_chemical_formula_sum 'K4 Li4 Ga16'
_symmetry_space_group_name_H-M 'F -4 3 m'
_symmetry_Int_Tables_number 216
_symmetry_space_group_name_Hall 'F -4 2 3'
_cell_length_a 8.055
_cell_length_b 8.055
_cell_length_c 8.055
_cell_angle_alpha 90.00
_cell_angle_beta 90.00
_cell_angle_gamma 90.00
loop_
_atom_site_label
_atom_site_type_symbol
_atom_site_fract_x
_atom_site_fract_y
_atom_site_fract_z
K1 K 0.000 0.000 0.000
Li1 Li 0.250 0.250 0.250
Ga1 Ga 0.125 0.125 0.625
```

***

The lowest E belongs to which entry? K3La3GaO8